(1)
# Y3Mg, relaxed, DFT PBE-GGA
data_Y3Mg
_space_group_name_H-M_alt 'P 1'
_space_group_IT_number 1
_cell_length_a 3.6360
_cell_length_b 3.6360
_cell_length_c 9.1261
_cell_angle_alpha 90.00
_cell_angle_beta 90.00
_cell_angle_gamma 90.00
loop_
_space_group_symop_operation_xyz
'x,y,z'
loop_
_atom_site_label
_atom_site_type_symbol
_atom_site_fract_x
_atom_site_fract_y
_atom_site_fract_z
Y1 Y 0.0000 0.0000 0.0000
Y2 Y 0.5000 0.5000 0.2702
Y3 Y 0.5000 0.5000 0.7298
Mg1 Mg 0.0000 0.0000 0.5000
# Electronic total energy   -0.1941 Ha/atom
# ΔE_f   -35.1 meV per atom

***

(2)
# Y3Mg, relaxed, DFT PBE-GGA
data_Y3Mg
_space_group_name_H-M_alt 'P 1'
_space_group_IT_number 1
_cell_length_a 6.9888
_cell_length_b 6.9888
_cell_length_c 5.6259
_cell_angle_alpha 90.00
_cell_angle_beta 90.00
_cell_angle_gamma 118.05
loop_
_space_group_symop_operation_xyz
'x,y,z'
loop_
_atom_site_label
_atom_site_type_symbol
_atom_site_fract_x
_atom_site_fract_y
_atom_site_fract_z
Y1 Y 0.0862 0.9138 0.7500
Y2 Y 0.0906 0.4093 0.7500
Y3 Y 0.4093 0.0906 0.2500
Y4 Y 0.5907 0.9094 0.7500
Y5 Y 0.9094 0.5907 0.2500
Y6 Y 0.9138 0.0862 0.2500
Mg1 Mg 0.4065 0.5935 0.2500
Mg2 Mg 0.5935 0.4065 0.7500
# Electronic total energy   -0.1921 Ha/atom
# ΔE_f   18.9 meV per atom

***

The highest ΔE_f belongs to which entry?
number 2

***

The highest ΔE_f belongs to which entry?
number 2